# 1
# Rb2AsPtS4 PBE optimized geometry
data_Rb2AsPtS4
_chemical_formula_sum 'Rb16 As8 Pt8 S32'
_cell_length_a 6.884
_cell_length_b 16.438
_cell_length_c 21.424
_cell_angle_alpha 90.00
_cell_angle_beta 90.00
_cell_angle_gamma 90.00
_symmetry_space_group_name_H-M 'F d d d'
_symmetry_Int_Tables_number 70
loop_
_symmetry_equiv_pos_as_xyz
'x,y,z'
'-x,-y,-z'
'-x+1/4,-y+1/4,z'
'x+1/4,y+1/4,-z'
'x,-y+1/4,-z+1/4'
'-x,y+1/4,z+1/4'
'-x+1/4,y,-z+1/4'
'x+1/4,-y,z+1/4'
'x,y+1/2,z+1/2'
'-x,-y+1/2,-z+1/2'
'-x+1/4,-y+3/4,z+1/2'
'x+1/4,y+3/4,-z+1/2'
'x,-y+3/4,-z+3/4'
'-x,y+3/4,z+3/4'
'-x+1/4,y+1/2,-z+3/4'
'x+1/4,-y+1/2,z+3/4'
'x+1/2,y,z+1/2'
'-x+1/2,-y,-z+1/2'
'-x+3/4,-y+1/4,z+1/2'
'x+3/4,y+1/4,-z+1/2'
'x+1/2,-y+1/4,-z+3/4'
'-x+1/2,y+1/4,z+3/4'
'-x+3/4,y,-z+3/4'
'x+3/4,-y,z+3/4'
'x+1/2,y+1/2,z'
'-x+1/2,-y+1/2,-z'
'-x+3/4,-y+3/4,z'
'x+3/4,y+3/4,-z'
'x+1/2,-y+3/4,-z+1/4'
'-x+1/2,y+3/4,z+1/4'
'-x+3/4,y+1/2,-z+1/4'
'x+3/4,-y+1/2,z+1/4'
loop_
_atom_site_label
_atom_site_fract_x
_atom_site_fract_y
_atom_site_fract_z
Rb1 0.125 0.125 0.281
As1 0.125 0.125 0.625
Pt1 0.125 0.125 0.125
S1 0.121 0.278 0.381
# * uncorrected formation energy: -0.518 eV per atom
# * uncorrected energy: -4.16 eV/atom



# 2
# RbAs2PtSe PBE optimized geometry
data_RbAs2PtSe
_chemical_formula_sum 'Rb1 As2 Pt1 Se1'
_cell_length_a 5.489
_cell_length_b 5.489
_cell_length_c 5.554
_cell_angle_alpha 90.00
_cell_angle_beta 90.00
_cell_angle_gamma 90.00
_symmetry_space_group_name_H-M 'P 4/m m m'
_symmetry_Int_Tables_number 123
_symmetry_space_group_name_Hall '-P 4 2'
loop_
_atom_site_label
_atom_site_fract_x
_atom_site_fract_y
_atom_site_fract_z
Rb1 0.000 0.000 0.000
As1 0.000 0.500 0.000
Pt1 0.500 0.500 0.500
Se1 0.000 0.000 0.500
# * uncorrected formation energy: 2.084 eV per atom
# * uncorrected energy: -1.87 eV/atom



# 3
# RbAs2PtSe PBE optimized geometry
data_RbAs2PtSe
_chemical_formula_sum 'Rb1 As2 Pt1 Se1'
_cell_length_a 4.916
_cell_length_b 4.916
_cell_length_c 5.647
_cell_angle_alpha 90.00
_cell_angle_beta 90.00
_cell_angle_gamma 90.00
_symmetry_space_group_name_H-M 'P 4/m m m'
_symmetry_Int_Tables_number 123
_symmetry_space_group_name_Hall '-P 4 2'
loop_
_atom_site_label
_atom_site_fract_x
_atom_site_fract_y
_atom_site_fract_z
Rb1 0.000 0.000 0.000
As1 0.000 0.500 0.500
Pt1 0.500 0.500 0.500
Se1 0.500 0.500 0.000
# * uncorrected formation energy: 0.036 eV per atom
# * uncorrected energy: -3.92 eV/atom



# 4
# RbSmAs2Pt4 PBE optimized geometry
data_RbSmAs2Pt4
_chemical_formula_sum 'Rb1 Sm1 As2 Pt4'
_cell_length_a 4.066
_cell_length_b 4.066
_cell_length_c 11.496
_cell_angle_alpha 90.00
_cell_angle_beta 90.00
_cell_angle_gamma 90.00
_symmetry_space_group_name_H-M 'P 4/m m m'
_symmetry_Int_Tables_number 123
_symmetry_space_group_name_Hall '-P 4 2'
loop_
_atom_site_label
_atom_site_fract_x
_atom_site_fract_y
_atom_site_fract_z
Rb1 0.000 0.000 0.000
Sm1 0.000 0.000 0.500
As1 0.500 0.500 0.187
Pt1 0.000 0.500 0.309
# * energy of formation: -0.628 eV per atom
# * uncorrected energy: -5.52 eV/atom



# 5
# Rb2SrAsPt PBE optimized geometry
data_Rb2SrAsPt
_chemical_formula_sum 'Rb2 Sr1 As1 Pt1'
_cell_length_a 6.867
_cell_length_b 6.867
_cell_length_c 4.650
_cell_angle_alpha 90.00
_cell_angle_beta 90.00
_cell_angle_gamma 90.00
_symmetry_space_group_name_H-M 'P 4/m m m'
_symmetry_Int_Tables_number 123
_symmetry_space_group_name_Hall '-P 4 2'
loop_
_atom_site_label
_atom_site_fract_x
_atom_site_fract_y
_atom_site_fract_z
Rb1 0.000 0.500 0.000
Sr1 0.000 0.000 0.500
As1 0.500 0.500 0.000
Pt1 0.500 0.500 0.500
# * energy of formation: -0.024 eV per atom
# * uncorrected energy: -2.89 eV/atom



# 6
# RbTbAs2Pt4 PBE optimized geometry
data_RbTbAs2Pt4
_chemical_formula_sum 'Rb1 Tb1 As2 Pt4'
_cell_length_a 4.057
_cell_length_b 4.057
_cell_length_c 11.404
_cell_angle_alpha 90.00
_cell_angle_beta 90.00
_cell_angle_gamma 90.00
_symmetry_space_group_name_H-M 'P 4/m m m'
_symmetry_Int_Tables_number 123
_symmetry_space_group_name_Hall '-P 4 2'
loop_
_atom_site_label
_atom_site_fract_x
_atom_site_fract_y
_atom_site_fract_z
Rb1 0.000 0.000 0.000
Tb1 0.000 0.000 0.500
As1 0.500 0.500 0.189
Pt1 0.000 0.500 0.313
# * energy of formation: -0.651 eV per atom
# * uncorrected energy: -5.53 eV/atom



# 7
# Rb2TcAsPt PBE optimized geometry
data_Rb2TcAsPt
_chemical_formula_sum 'Rb2 Tc1 As1 Pt1'
_cell_length_a 6.677
_cell_length_b 6.677
_cell_length_c 4.582
_cell_angle_alpha 90.00
_cell_angle_beta 90.00
_cell_angle_gamma 90.00
_symmetry_space_group_name_H-M 'P 4/m m m'
_symmetry_Int_Tables_number 123
_symmetry_space_group_name_Hall '-P 4 2'
loop_
_atom_site_label
_atom_site_fract_x
_atom_site_fract_y
_atom_site_fract_z
Rb1 0.000 0.500 0.000
Tc1 0.000 0.000 0.500
As1 0.500 0.500 0.500
Pt1 0.500 0.500 0.000
# * energy of formation: 0.851 eV per atom
# * uncorrected energy: -3.75 eV/atom



# 8
# RbVAs2Pt PBE optimized geometry
data_RbVAs2Pt
_chemical_formula_sum 'Rb1 V1 As2 Pt1'
_cell_length_a 5.390
_cell_length_b 5.390
_cell_length_c 5.027
_cell_angle_alpha 90.00
_cell_angle_beta 90.00
_cell_angle_gamma 90.00
_symmetry_space_group_name_H-M 'P 4/m m m'
_symmetry_Int_Tables_number 123
_symmetry_space_group_name_Hall '-P 4 2'
loop_
_atom_site_label
_atom_site_fract_x
_atom_site_fract_y
_atom_site_fract_z
Rb1 0.000 0.000 0.000
V1 0.500 0.500 0.500
As1 0.000 0.500 0.000
Pt1 0.000 0.000 0.500
# * energy of formation: 2.359 eV per atom
# * uncorrected energy: -2.73 eV/atom



# 9
# ReAs4Pt PBE optimized geometry
data_ReAs4Pt
_chemical_formula_sum 'Re4 As16 Pt4'
_cell_length_a 7.498
_cell_length_b 7.498
_cell_length_c 7.498
_cell_angle_alpha 90.00
_cell_angle_beta 90.00
_cell_angle_gamma 90.00
_symmetry_space_group_name_H-M 'F -4 3 m'
_symmetry_Int_Tables_number 216
_symmetry_space_group_name_Hall 'F -4 2 3'
loop_
_atom_site_label
_atom_site_fract_x
_atom_site_fract_y
_atom_site_fract_z
Re1 0.000 0.000 0.000
As1 0.125 0.125 0.625
Pt1 0.250 0.250 0.250
# * energy of formation: 1.009 eV per atom
# * uncorrected energy: -5.17 eV/atom



# 10
# ReAsPt3 PBE optimized geometry
data_ReAsPt3
_chemical_formula_sum 'Re1 As1 Pt3'
_cell_length_a 4.637
_cell_length_b 4.637
_cell_length_c 4.637
_cell_angle_alpha 90.00
_cell_angle_beta 90.00
_cell_angle_gamma 90.00
_symmetry_space_group_name_H-M 'P m -3 m'
_symmetry_Int_Tables_number 221
_symmetry_space_group_name_Hall '-P 4 2 3'
loop_
_atom_site_label
_atom_site_fract_x
_atom_site_fract_y
_atom_site_fract_z
Re1 0.000 0.000 0.000
As1 0.500 0.500 0.500
Pt1 0.000 0.500 0.500
# * energy of formation: 1.153 eV per atom
# * uncorrected energy: -5.89 eV/atom



# 11
# ReAsPt3 PBE optimized geometry
data_ReAsPt3
_chemical_formula_sum 'Re1 As1 Pt3'
_cell_length_a 4.821
_cell_length_b 4.821
_cell_length_c 4.821
_cell_angle_alpha 90.00
_cell_angle_beta 90.00
_cell_angle_gamma 90.00
_symmetry_space_group_name_H-M 'P m -3 m'
_symmetry_Int_Tables_number 221
_symmetry_space_group_name_Hall '-P 4 2 3'
loop_
_atom_site_label
_atom_site_fract_x
_atom_site_fract_y
_atom_site_fract_z
Re1 0.000 0.000 0.000
As1 0.500 0.500 0.500
Pt1 0.000 0.000 0.500
# * energy of formation: 1.312 eV per atom
# * uncorrected energy: -5.73 eV/atom



# 12
# ReAsPt PBE optimized geometry
data_ReAsPt
_chemical_formula_sum 'Re4 As4 Pt4'
_cell_length_a 2.827
_cell_length_b 4.843
_cell_length_c 14.316
_cell_angle_alpha 90.00
_cell_angle_beta 90.00
_cell_angle_gamma 90.00
_symmetry_space_group_name_H-M 'F m m 2'
_symmetry_Int_Tables_number 42
_symmetry_space_group_name_Hall 'F 2 -2'
loop_
_atom_site_label
_atom_site_fract_x
_atom_site_fract_y
_atom_site_fract_z
Re1 0.000 0.000 0.000
As1 0.000 0.000 0.342
Pt1 0.000 0.000 0.662
# * energy of formation: 0.417 eV per atom
# * uncorrected energy: -7.30 eV/atom



# 13
# ReAsPt PBE optimized geometry
data_ReAsPt
_chemical_formula_sum 'Re2 As2 Pt2'
_cell_length_a 2.887
_cell_length_b 2.887
_cell_length_c 12.125
_cell_angle_alpha 90.00
_cell_angle_beta 90.00
_cell_angle_gamma 90.00
_symmetry_space_group_name_H-M 'I 4 m m'
_symmetry_Int_Tables_number 107
_symmetry_space_group_name_Hall 'I 4 -2'
loop_
_atom_site_label
_atom_site_fract_x
_atom_site_fract_y
_atom_site_fract_z
Re1 0.000 0.000 0.000
As1 0.000 0.000 0.636
Pt1 0.000 0.000 0.351
# * energy of formation: 0.232 eV per atom
# * uncorrected energy: -7.48 eV/atom